# TbPaPb2 (PBE, relaxed)
data_TbPaPb2
_chemical_formula_sum 'Tb4 Pa4 Pb8'
_space_group_name_H-M_alt 'F m -3 m'
_space_group_IT_number 225
_space_group_name_Hall '-F 4 2 3'
_cell_length_a 7.6788
_cell_length_b 7.6788
_cell_length_c 7.6788
_cell_angle_alpha 90.00
_cell_angle_beta 90.00
_cell_angle_gamma 90.00
loop_
_atom_site_label
_atom_site_fract_x
_atom_site_fract_y
_atom_site_fract_z
Tb1 0.0000 0.0000 0.0000
Pa1 0.0000 0.0000 0.5000
Pb1 0.2500 0.2500 0.2500
# Energy relative to the lowest polymorph listed for this composition, meV/atom: 88
# DFT formation energy, kJ per mole of atoms: -6
# Magnetization, μB per formula unit: 2.39